VASP calculation (PBE) on a geometry-optimized Hg2RuSe structure.

The structure belongs to space group Pm (No. 6); the cell edges are 4.546, 3.131 and 6.787 Å and the angles 90.00°, 109.47° and 90.00°. The distinct sites, in fractional coordinates, are Hg at (0.000, 0.000, 0.000), Hg at (0.330, 0.500, 0.658), Ru at (0.787, 0.000, 0.570) and Se at (0.643, 0.500, 0.284).

The value obtained for the total moment is 0.0 μB/cell. The value obtained for the formation energy (no corrections) is 3.440 kcal/mol of atoms.

---

VASP calculation (PBE) on a geometry-optimized Hg2RuSe structure.

The structure belongs to space group Imm2 (No. 44); the cell edges are 3.068, 4.748 and 12.322 Å and the angles 90.00°, 90.00° and 90.00°. The distinct sites, in fractional coordinates, are Hg at (0.000, 0.000, 0.000), Hg at (0.000, 0.500, 0.171), Ru at (0.000, 0.500, 0.698) and Se at (0.000, 0.000, 0.350).

The value obtained for the total moment is 0.7 μB/cell. The value obtained for the formation energy (no corrections) is 3.359 kcal/mol of atoms.

---

VASP calculation (PBE) on a geometry-optimized Hg2RuSe structure.

The structure belongs to space group P4mm (No. 99); the cell edges are 3.041, 3.041 and 9.501 Å and the angles 90.00°, 90.00° and 90.00°. The distinct sites, in fractional coordinates, are Hg at (0.000, 0.000, 0.000), Hg at (0.500, 0.500, 0.290), Ru at (0.000, 0.000, 0.522) and Se at (0.500, 0.500, 0.656).

The value obtained for the total moment is 0.0 μB/cell. The value obtained for the formation energy (no corrections) is 0.865 kcal/mol of atoms.

---

VASP calculation (PBE) on a geometry-optimized HgRu2Se structure.

The structure belongs to space group P4mm (No. 99); the cell edges are 2.929, 2.929 and 8.426 Å and the angles 90.00°, 90.00° and 90.00°. The distinct sites, in fractional coordinates, are Hg at (0.000, 0.000, 0.000), Ru at (0.000, 0.000, 0.446), Ru at (0.500, 0.500, 0.242) and Se at (0.500, 0.500, 0.634).

The value obtained for the total moment is 0.0 μB/cell. The value obtained for the formation energy (no corrections) is 6.114 kcal/mol of atoms.

---

VASP calculation (PBE) on a geometry-optimized HgRu2Se structure.

The structure belongs to space group P4/mmm (No. 123); the cell edges are 3.048, 3.048 and 6.952 Å and the angles 90.00°, 90.00° and 90.00°. The distinct sites, in fractional coordinates, are Hg at (0.000, 0.000, 0.000), Ru at (0.500, 0.500, 0.291) and Se at (0.000, 0.000, 0.500).

The value obtained for the total moment is 0.0 μB/cell. The value obtained for the formation energy (no corrections) is 8.223 kcal/mol of atoms.

---

VASP calculation (PBE) on a geometry-optimized HgRu2Se structure.

The structure belongs to space group I-4m2 (No. 119); the cell edges are 4.104, 4.104 and 8.054 Å and the angles 90.00°, 90.00° and 90.00°. The distinct sites, in fractional coordinates, are Hg at (0.000, 0.000, 0.000), Ru at (0.000, 0.000, 0.500), Ru at (0.000, 0.500, 0.750) and Se at (0.000, 0.500, 0.250).

The value obtained for the total moment is 3.1 μB/cell. The value obtained for the formation energy (no corrections) is 17.409 kcal/mol of atoms.

---

VASP calculation (PBE) on a geometry-optimized HgRu2Se structure.

The structure belongs to space group Pmmm (No. 47); the cell edges are 3.030, 4.531 and 5.007 Å and the angles 90.00°, 90.00° and 90.00°. The distinct sites, in fractional coordinates, are Hg at (0.000, 0.000, 0.000), Ru at (0.000, 0.500, 0.500), Ru at (0.500, 0.500, 0.000) and Se at (0.500, 0.000, 0.500).

The value obtained for the total moment is 1.6 μB/cell. The value obtained for the formation energy (no corrections) is 17.792 kcal/mol of atoms.

---

VASP calculation (PBE) on a geometry-optimized Hg2RuSe structure.

The structure belongs to space group Cmmm (No. 65); the cell edges are 4.172, 4.204 and 9.594 Å and the angles 90.00°, 90.00° and 90.00°. The distinct sites, in fractional coordinates, are Hg at (0.000, 0.000, 0.210), Ru at (0.000, 0.500, 0.000) and Se at (0.000, 0.500, 0.500).

The value obtained for the total moment is 3.2 μB/cell. The value obtained for the formation energy (no corrections) is 12.430 kcal/mol of atoms.

---

VASP calculation (PBE) on a geometry-optimized Hg2RuSe structure.

The structure belongs to space group C2/m (No. 12); the cell edges are 14.470, 3.038 and 4.075 Å and the angles 90.00°, 106.27° and 90.00°. The distinct sites, in fractional coordinates, are Hg at (0.183, 0.000, 0.183), Ru at (0.000, 0.500, 0.000) and Se at (0.000, 0.000, 0.500).

The value obtained for the total moment is 0.8 μB/cell. The value obtained for the formation energy (no corrections) is 6.905 kcal/mol of atoms.

---

VASP calculation (PBE) on a geometry-optimized HgRu2Se structure.

The structure belongs to space group C2/m (No. 12); the cell edges are 6.029, 8.850 and 2.940 Å and the angles 90.00°, 119.09° and 90.00°. The distinct sites, in fractional coordinates, are Hg at (0.000, 0.000, 0.000), Ru at (0.250, 0.250, 0.000) and Se at (0.000, 0.500, 0.000).

The value obtained for the total moment is 0.0 μB/cell. The value obtained for the formation energy (no corrections) is 17.852 kcal/mol of atoms.

---

VASP calculation (PBE) on a geometry-optimized Hg2RuSe structure.

The structure belongs to space group P2/m (No. 10); the cell edges are 3.381, 5.151 and 4.599 Å and the angles 90.00°, 90.39° and 90.00°. The distinct sites, in fractional coordinates, are Hg at (0.246, 0.000, 0.256), Ru at (0.000, 0.500, 0.500) and Se at (0.500, 0.500, 0.000).

The value obtained for the total moment is 0.0 μB/cell. The value obtained for the formation energy (no corrections) is 12.932 kcal/mol of atoms.

---

VASP calculation (PBE) on a geometry-optimized HgRu2Se structure.

The structure belongs to space group R3m (No. 160, hexagonal axes); the cell edges are 2.8886, 2.8886 and 31.0679 Å and the angles 90.00°, 90.00° and 120.00°. The distinct sites, in fractional coordinates, are Hg at (0.0000, 0.0000, 0.0000), Ru at (0.0000, 0.0000, 0.4803), Ru at (0.0000, 0.0000, 0.7478) and Se at (0.0000, 0.0000, 0.2097).

The value obtained for the total moment is 0.0 μB/cell. The value obtained for the formation energy (no corrections) is 7.262 kcal/mol of atoms.

---

VASP calculation (PBE) on a geometry-optimized HgRu2Se structure.

The structure belongs to space group C2/m (No. 12); the cell edges are 7.745, 3.048 and 5.959 Å and the angles 90.00°, 100.86° and 90.00°. The distinct sites, in fractional coordinates, are Hg at (0.000, 0.000, 0.000), Ru at (0.246, 0.000, 0.692) and Se at (0.000, 0.500, 0.500).

The value obtained for the total moment is 0.0 μB/cell. The value obtained for the formation energy (no corrections) is 8.087 kcal/mol of atoms.

---

VASP calculation (PBE) on a geometry-optimized HgRu2Se structure.

The structure belongs to space group F-43m (No. 216); the cell edges are 6.477, 6.477 and 6.477 Å and the angles 90.00°, 90.00° and 90.00°. The distinct sites, in fractional coordinates, are Hg at (0.000, 0.000, 0.000), Ru at (0.000, 0.000, 0.500), Ru at (0.250, 0.250, 0.250) and Se at (0.250, 0.250, 0.750).

The value obtained for the total moment is 4.9 μB/cell. The value obtained for the formation energy (no corrections) is 17.963 kcal/mol of atoms.

---

VASP calculation (PBE) on a geometry-optimized HgRu2Se structure.

The structure belongs to space group Pmm2 (No. 25); the cell edges are 2.886, 3.668 and 7.154 Å and the angles 90.00°, 90.00° and 90.00°. The distinct sites, in fractional coordinates, are Hg at (0.000, 0.000, 0.000), Ru at (0.000, 0.000, 0.426), Ru at (0.500, 0.500, 0.244) and Se at (0.500, 0.500, 0.595).

The value obtained for the total moment is 0.0 μB/cell. The value obtained for the formation energy (no corrections) is 7.062 kcal/mol of atoms.

---

VASP calculation (PBE) on a geometry-optimized Hg2RuSe structure.

The structure belongs to space group Cmmm (No. 65); the cell edges are 5.506, 8.620 and 3.322 Å and the angles 90.00°, 90.00° and 90.00°. The distinct sites, in fractional coordinates, are Hg at (0.250, 0.250, 0.000), Ru at (0.000, 0.000, 0.500) and Se at (0.000, 0.500, 0.500).

The value obtained for the total moment is 0.7 μB/cell. The value obtained for the formation energy (no corrections) is 13.255 kcal/mol of atoms.